MgScZnSn: relaxed, GGA-PBE.

Output
The value obtained for the electronic total energy is -3.527 eV/atom. Its total moment is 0.00 μB/atom.

abc: 4.897 4.897 4.897
angles: 60.00 60.00 60.00
Fractional positions:
Sn (0.250, 0.250, 0.250)
Sc (0.000, 0.000, 0.000)
Zn (0.750, 0.750, 0.750)
Mg (0.500, 0.500, 0.500)


ZrGa2Bi: relaxed, GGA-PBE.

Output
The value obtained for the electronic total energy is -4.517 eV/atom. Its total moment is 0.09 μB/atom.

abc: 5.089 5.089 5.089
angles: 60.00 60.00 60.00
Fractional positions:
Ga (0.250, 0.250, 0.250)
Zr (0.500, 0.500, 0.500)
Ga (0.000, 0.000, 0.000)
Bi (0.750, 0.750, 0.750)


SrTl3Cd: relaxed, GGA-PBE.

Output
The value obtained for the electronic total energy is -2.077 eV/atom.

abc: 7.453 7.453 7.453
angles: 141.49 141.49 55.60
Fractional positions:
Cd (0.500, 0.500, 0.000)
Tl (0.139, 0.639, 0.500)
Sr (0.750, 0.250, 0.500)
Tl (0.361, 0.861, 0.500)
Tl (0.000, 0.000, 0.000)


Cd7Pt3: relaxed, GGA-PBE.

Output
Its energy of formation from the pure elements is -2.49 eV per formula unit. Its total moment is 0.00 μB/atom.

abc: 7.811 19.906 5.206
angles: 90.00 90.00 90.00
Fractional positions:
Cd (0.320, 0.175, 0.940)
Cd (0.820, 0.175, 0.560)
Pt (0.626, 0.105, 0.934)
Cd (0.025, 0.612, 0.919)
Cd (0.839, 0.019, 0.656)
Pt (0.517, 0.250, 0.570)
Pt (0.017, 0.250, 0.930)
Pt (0.374, 0.895, 0.066)
Cd (0.975, 0.388, 0.081)
Cd (0.475, 0.112, 0.419)
Pt (0.874, 0.605, 0.434)
Cd (0.475, 0.388, 0.419)
Cd (0.339, 0.019, 0.844)
Pt (0.126, 0.105, 0.566)
Cd (0.833, 0.750, 0.574)
Pt (0.374, 0.605, 0.066)
Cd (0.525, 0.888, 0.581)
Pt (0.874, 0.895, 0.434)
Cd (0.680, 0.825, 0.060)
Cd (0.180, 0.675, 0.440)
Cd (0.333, 0.750, 0.926)
Cd (0.661, 0.981, 0.156)
Pt (0.983, 0.750, 0.070)
Cd (0.667, 0.250, 0.074)
Cd (0.161, 0.519, 0.344)
Pt (0.483, 0.750, 0.430)
Pt (0.126, 0.395, 0.566)
Cd (0.975, 0.112, 0.081)
Cd (0.661, 0.519, 0.156)
Cd (0.167, 0.250, 0.426)
Cd (0.839, 0.481, 0.656)
Cd (0.820, 0.325, 0.560)
Cd (0.320, 0.325, 0.940)
Cd (0.525, 0.612, 0.581)
Cd (0.680, 0.675, 0.060)
Cd (0.161, 0.981, 0.344)
Cd (0.025, 0.888, 0.919)
Cd (0.180, 0.825, 0.440)
Pt (0.626, 0.395, 0.934)
Cd (0.339, 0.481, 0.844)


RbPrCdSe3: relaxed, GGA-PBE.

Output
The value obtained for the electronic total energy is -4.199 eV/atom. Its total moment is 0.00 μB/atom.

abc: 8.052 8.052 11.448
angles: 90.00 90.00 31.48
Fractional positions:
Cd (0.463, 0.463, 0.750)
Se (0.068, 0.068, 0.750)
Se (0.372, 0.372, 0.945)
Pr (0.000, 0.000, 0.500)
Se (0.628, 0.628, 0.055)
Se (0.628, 0.628, 0.445)
Cd (0.537, 0.537, 0.250)
Rb (0.254, 0.254, 0.250)
Se (0.932, 0.932, 0.250)
Se (0.372, 0.372, 0.555)
Pr (0.000, 0.000, 0.000)
Rb (0.746, 0.746, 0.750)


KUTe3Au: relaxed, GGA-PBE.

Output
The value obtained for the electronic total energy is -4.891 eV/atom. Its total moment is 0.33 μB/atom.

abc: 8.274 8.274 11.410
angles: 90.00 90.00 149.20
Fractional positions:
Au (0.962, 0.038, 0.250)
Te (0.868, 0.132, 0.048)
Te (0.573, 0.427, 0.250)
K (0.742, 0.258, 0.750)
Au (0.038, 0.962, 0.750)
Te (0.427, 0.573, 0.750)
Te (0.868, 0.132, 0.452)
U (0.500, 0.500, 0.000)
U (0.500, 0.500, 0.500)
Te (0.132, 0.868, 0.952)
Te (0.132, 0.868, 0.548)
K (0.258, 0.742, 0.250)